TbPbWO6 | PBE+U | relaxed

Output
Electronic total energy   -64.2 eV per cell
SG   P312, No. 149
V   14.90 A^3/atom

Unit cell a=5.6396 b=5.6396 c=4.8683 alpha=90.00 beta=90.00 gamma=120.00
Closest atoms and distances in Å follow each position.
Atoms (fractional coordinates):
Tb  0.0000  0.0000  0.0000  6 O 2.26
Pb  0.6667  0.3333  0.5000  6 O 2.45
W  0.3333  0.6667  0.0000  6 O 1.96
O  0.0474  0.3733  0.2225  1 W 1.96
O  0.0474  0.6740  0.7775  1 W 1.96
O  0.3260  0.3733  0.7775  1 W 1.96
O  0.3260  0.9526  0.2225  1 W 1.96
O  0.6267  0.6740  0.2225  1 W 1.96
O  0.6267  0.9526  0.7775  1 W 1.96